Entry 1:
V2InO5 | PBE with a Hubbard U | relaxed

Computed properties:
energy	-7.137	eV per atom

Cell lengths 3.8530, 5.3880, 10.5420 Å; angles 90.00, 90.00, 110.95 degrees
Positions (direct):
1 V 0.8614 0.7229 0.4390
2 V 0.8614 0.7229 0.0610
3 V 0.1386 0.2771 0.5610
4 V 0.1386 0.2771 0.9390
5 In 0.8129 0.6257 0.7500
6 In 0.1871 0.3743 0.2500
7 O 0.9613 0.9227 0.8928
8 O 0.9613 0.9227 0.6072
9 O 0.3034 0.6069 0.4381
10 O 0.3034 0.6069 0.0619
11 O 0.7814 0.5628 0.2500
12 O 0.2186 0.4372 0.7500
13 O 0.6966 0.3931 0.5619
14 O 0.6966 0.3931 0.9381
15 O 0.0387 0.0773 0.1072
16 O 0.0387 0.0773 0.3928

Entry 2:
VInW2O | PBE with a Hubbard U | relaxed

Computed properties:
energy	-4.958	eV per atom

Cell lengths 5.3873, 3.5855, 5.3873 Å; angles 90.00, 90.00, 90.00 degrees
Positions (direct):
1 V 0.0000 0.0000 0.0000
2 O 0.0000 0.5000 0.0000
3 W 0.0000 0.0000 0.5000
4 W 0.5000 0.0000 0.0000
5 In 0.5000 0.5000 0.5000

Entry 3:
YV2InO8 | PBE with a Hubbard U | relaxed

Computed properties:
energy	-7.500	eV per atom

Cell lengths 5.9404, 5.9404, 5.9404 Å; angles 106.74, 106.74, 115.09 degrees
Positions (direct):
1 Y 0.0000 0.0000 0.0000
2 V 0.7500 0.2500 0.5000
3 V 0.5000 0.5000 0.0000
4 In 0.2500 0.7500 0.5000
5 O 0.3875 0.0751 0.3124
6 O 0.3260 0.5164 0.1904
7 O 0.3260 0.1356 0.8096
8 O 0.7627 0.0751 0.6876
9 O 0.8644 0.6740 0.1904
10 O 0.9249 0.2373 0.3124
11 O 0.9249 0.6125 0.6876
12 O 0.4836 0.6740 0.8096

Entry 4:
YVIn2O6 | PBE with a Hubbard U | relaxed

Computed properties:
energy	-7.043	eV per atom

Cell lengths 5.5376, 5.5361, 5.8724 Å; angles 61.89, 61.85, 59.99 degrees
Positions (direct):
1 Y 0.8065 0.8066 0.5802
2 V 0.3175 0.3175 0.0472
3 In 0.5286 0.5287 0.4142
4 In 0.0204 0.0207 0.9384
5 O 0.5966 0.2180 0.2471
6 O 0.2184 0.9384 0.2467
7 O 0.9384 0.5964 0.2468
8 O 0.4057 0.6992 0.7649
9 O 0.6991 0.1304 0.7650
10 O 0.1303 0.4058 0.7647

Entry 5:
VZnInO4 | PBE with a Hubbard U | relaxed

Computed properties:
energy	-6.157	eV per atom

Cell lengths 6.1987, 6.2361, 6.2361 Å; angles 60.66, 60.20, 60.20 degrees
Positions (direct):
1 V 0.5000 0.0000 0.5000
2 V 0.0000 0.0000 0.5000
3 Zn 0.6248 0.6252 0.1252
4 Zn 0.3752 0.3748 0.8748
5 In 0.0000 0.0000 0.0000
6 In 0.0000 0.5000 0.5000
7 O 0.7515 0.7729 0.7242
8 O 0.2485 0.7758 0.7271
9 O 0.7515 0.2242 0.2729
10 O 0.2485 0.2271 0.2758
11 O 0.2258 0.7674 0.2674
12 O 0.7393 0.7674 0.2674
13 O 0.2607 0.2326 0.7326
14 O 0.7742 0.2326 0.7326

Entry 6:
VZn2InO6 | PBE with a Hubbard U | relaxed

Computed properties:
energy	-5.791	eV per atom

Cell lengths 6.7605, 6.7759, 6.7759 Å; angles 60.21, 76.98, 76.98 degrees
Positions (direct):
1 V 0.2500 0.1617 0.8383
2 V 0.7500 0.8383 0.1617
3 Zn 0.3593 0.6401 0.8273
4 Zn 0.1407 0.1727 0.3599
5 Zn 0.6407 0.3599 0.1727
6 Zn 0.8593 0.8273 0.6401
7 In 0.2500 0.6420 0.3580
8 In 0.7500 0.3580 0.6420
9 O 0.3866 0.9064 0.8717
10 O 0.1134 0.1283 0.0936
11 O 0.6134 0.0936 0.1283
12 O 0.8866 0.8717 0.9064
13 O 0.5872 0.6215 0.2801
14 O 0.9128 0.7199 0.3785
15 O 0.4128 0.3785 0.7199
16 O 0.0872 0.2801 0.6215
17 O 0.1922 0.8165 0.5567
18 O 0.3078 0.4433 0.1835
19 O 0.8078 0.1835 0.4433
20 O 0.6922 0.5567 0.8165

Entry 7:
InW2O6 | PBE with a Hubbard U | relaxed

Computed properties:
energy	-6.897	eV per atom

Cell lengths 4.5911, 9.4677, 9.4677 Å; angles 120.00, 90.00, 90.00 degrees
Positions (direct):
1 In 0.5010 0.6667 0.3333
2 In 0.4990 0.3333 0.6667
3 In 0.0000 0.0000 0.0000
4 W 0.0000 0.0000 0.3376
5 W 0.0000 0.6624 0.6624
6 W 0.0000 0.3376 0.0000
7 W 0.0000 0.0000 0.6624
8 W 0.0000 0.3376 0.3376
9 W 0.0000 0.6624 0.0000
10 O 0.2353 0.8982 0.4491
11 O 0.2353 0.5509 0.1018
12 O 0.2353 0.5509 0.4491
13 O 0.7647 0.4491 0.5509
14 O 0.7647 0.4491 0.8982
15 O 0.7647 0.1018 0.5509
16 O 0.7738 0.4313 0.2156
17 O 0.7738 0.7844 0.5687
18 O 0.7738 0.7844 0.2156
19 O 0.7834 0.7615 0.8808
20 O 0.7834 0.1192 0.2385
21 O 0.7834 0.1192 0.8808
22 O 0.2166 0.8808 0.1192
23 O 0.2166 0.8808 0.7615
24 O 0.2166 0.2385 0.1192
25 O 0.2262 0.5687 0.7844
26 O 0.2262 0.2156 0.4313
27 O 0.2262 0.2156 0.7844

Entry 8:
In2WO6 | PBE with a Hubbard U | relaxed

Computed properties:
energy	-6.412	eV per atom

Cell lengths 5.1628, 5.4581, 8.9381 Å; angles 90.00, 90.00, 90.00 degrees
Positions (direct):
1 In 0.5002 0.0001 0.1975
2 In 0.0002 0.4999 0.3025
3 In 0.9998 0.5001 0.6975
4 In 0.4998 0.9999 0.8025
5 W 0.5000 0.5000 0.0000
6 W 0.0000 0.0000 0.5000
7 O 0.2160 0.1491 0.6581
8 O 0.2168 0.1491 0.3422
9 O 0.3146 0.1942 0.0001
10 O 0.8146 0.3058 0.4999
11 O 0.7168 0.3509 0.1578
12 O 0.7160 0.3509 0.8419
13 O 0.7840 0.8509 0.3419
14 O 0.7832 0.8509 0.6578
15 O 0.6854 0.8058 0.9999
16 O 0.1854 0.6942 0.5001
17 O 0.2832 0.6491 0.8422
18 O 0.2840 0.6491 0.1581